# TlCuCl

A relaxed TlCuCl crystal (PBE-GGA, Alexandria via LeMat-Bulk).

a = 6.5052 Å, b = 6.5052 Å, c = 6.5052 Å
α = 150.30°, β = 150.30°, γ = 42.50°
Last column: nearest neighbours and their distance in Å.
Fractional positions:
Tl 0.0000 0.0000 0.0000  4 Cu 3.06, 1 Cl 3.11, 4 Tl 3.33
Cu 0.6612 0.6612 0.0000  4 Cl 2.63
Cl 0.2564 0.2564 0.0000  4 Cu 2.63

space group	I4mm (107)
energy relative to the elements, uncorrected	-0.0879	eV per atom
crystal system	tetragonal

# GaSeS2

A relaxed GaSeS2 crystal (PBE-GGA, Alexandria via LeMat-Bulk).

a = 8.8823 Å, b = 8.8823 Å, c = 8.8823 Å
α = 23.05°, β = 23.05°, γ = 23.05°
Last column: nearest neighbours and their distance in Å.
Fractional positions:
Ga 0.0000 0.0000 0.0000  2 S 2.80
Se 0.5000 0.5000 0.5000  6 S 2.55
S 0.1080 0.1080 0.1080  3 Se 2.55, 1 Ga 2.80
S 0.8920 0.8920 0.8920  3 Se 2.55, 1 Ga 2.80

space group	R-3m (166)
energy relative to the elements, uncorrected	0.3597	eV per atom
crystal system	trigonal

# Na7PbAu2

A relaxed Na7PbAu2 crystal (PBE-GGA, Alexandria via LeMat-Bulk).

a = 8.5305 Å, b = 8.5305 Å, c = 5.2483 Å
α = 90.00°, β = 90.00°, γ = 116.07°
Last column: nearest neighbours and their distance in Å.
Fractional positions:
Na 0.0000 0.0000 0.0000  2 Au 2.86
Na 0.1912 0.4374 0.0000  2 Au 3.04-3.09, 2 Na 3.35
Na 0.2675 0.7325 0.5000  2 Au 2.81
Na 0.4374 0.1912 0.0000  2 Au 3.04-3.09, 2 Na 3.35
Na 0.5626 0.8088 0.0000  2 Au 3.04-3.09, 2 Na 3.35
Na 0.7325 0.2675 0.5000  2 Au 2.81
Na 0.8088 0.5626 0.0000  2 Au 3.04-3.09, 2 Na 3.35
Pb 0.5000 0.5000 0.5000  10 Na 3.37-3.59
Au 0.1978 0.8022 0.0000  7 Na 2.81-3.09
Au 0.8022 0.1978 0.0000  7 Na 2.81-3.09

space group	Cmmm (65)
calculated formation energy	-0.08	eV per atom
crystal system	orthorhombic

# ReCl3

A relaxed ReCl3 crystal (PBE-GGA, Alexandria via LeMat-Bulk).

a = 5.2630 Å, b = 5.2630 Å, c = 5.2630 Å
α = 115.62°, β = 115.62°, γ = 115.62°
Last column: nearest neighbours and their distance in Å.
Fractional positions:
Re 0.0000 0.0000 0.0000  6 Cl 2.80
Cl 0.0000 0.5000 0.5000  4 Cl 2.80, 2 Re 2.80
Cl 0.5000 0.0000 0.5000  2 Re 2.80, 4 Cl 2.80
Cl 0.5000 0.5000 0.0000  4 Cl 2.80, 2 Re 2.80

space group	R-3m (166)
energy relative to the elements, uncorrected	1.1021	eV per atom
crystal system	trigonal

# CdIr2F11

A relaxed CdIr2F11 crystal (PBE-GGA, Alexandria via LeMat-Bulk).

a = 8.1539 Å, b = 8.1539 Å, c = 8.1539 Å
α = 113.83°, β = 113.59°, γ = 101.28°
Last column: nearest neighbours and their distance in Å.
Fractional positions:
Cd 0.2500 0.2500 0.0000  8 F 2.40-2.41
Cd 0.7500 0.7500 0.0000  8 F 2.40-2.41
Ir 0.1603 0.6605 0.8208  6 F 1.86-2.02
Ir 0.3397 0.1605 0.5002  6 F 1.86-2.02
Ir 0.6603 0.8395 0.4998  6 F 1.86-2.02
Ir 0.8397 0.3395 0.1792  6 F 1.86-2.02
F 0.0000 0.5000 0.5000  2 Ir 2.02
F 0.0776 0.3586 0.1710  1 Ir 1.95
F 0.0943 0.9222 0.2820  1 Ir 1.94
F 0.1403 0.4222 0.8280  1 Ir 1.94
F 0.1876 0.9066 0.8290  1 Ir 1.95
F 0.1919 0.3080 0.4999  1 Ir 1.86
F 0.3081 0.8080 0.1161  1 Ir 1.86
F 0.3124 0.1414 0.7190  1 Ir 1.95
F 0.3597 0.1877 0.2820  1 Ir 1.94
F 0.4057 0.6877 0.8280  1 Ir 1.94
F 0.4224 0.5934 0.2810  1 Ir 1.95
F 0.5000 0.0000 0.5000  2 Ir 2.02
F 0.5776 0.4066 0.7190  1 Ir 1.95
F 0.5943 0.3123 0.1720  1 Ir 1.94
F 0.6403 0.8123 0.7180  1 Ir 1.94
F 0.6876 0.8586 0.2810  1 Ir 1.95
F 0.6919 0.1920 0.8839  1 Ir 1.86
F 0.8081 0.6920 0.5001  1 Ir 1.86
F 0.8124 0.0934 0.1710  1 Ir 1.95
F 0.8597 0.5778 0.1720  1 Ir 1.94
F 0.9057 0.0778 0.7180  1 Ir 1.94
F 0.9224 0.6414 0.8290  1 Ir 1.95

space group	Ibam (72)
energy relative to the elements, uncorrected	-1.5588	eV per atom
crystal system	orthorhombic

# CdReBi2Mo

A relaxed CdReBi2Mo crystal (PBE-GGA, Alexandria via LeMat-Bulk).

a = 5.3049 Å, b = 5.3049 Å, c = 5.3358 Å
α = 90.00°, β = 90.00°, γ = 90.00°
Last column: nearest neighbours and their distance in Å.
Fractional positions:
Cd 0.0000 0.0000 0.0000  2 Mo 2.67
Re 0.5000 0.5000 0.0000  4 Cd 3.75, 8 Bi 3.76
Bi 0.0000 0.5000 0.5000  2 Mo 2.65
Bi 0.5000 0.0000 0.5000  2 Mo 2.65
Mo 0.0000 0.0000 0.5000  4 Bi 2.65, 2 Cd 2.67

space group	P4/mmm (123)
calculated formation energy	1.65	eV per atom
crystal system	tetragonal

# Zn2Ga2Hg

A relaxed Zn2Ga2Hg crystal (PBE-GGA, Alexandria via LeMat-Bulk).

a = 8.1392 Å, b = 8.1392 Å, c = 2.9064 Å
α = 90.00°, β = 90.00°, γ = 90.00°
Last column: nearest neighbours and their distance in Å.
Fractional positions:
Zn 0.1716 0.3284 0.0000  6 Ga 2.76-2.84, 2 Zn 2.91, 2 Hg 3.02
Zn 0.3284 0.8284 0.0000  6 Ga 2.76-2.84, 2 Zn 2.91, 2 Hg 3.02
Zn 0.6716 0.1716 0.0000  6 Ga 2.76-2.84, 2 Zn 2.91, 2 Hg 3.02
Zn 0.8284 0.6716 0.0000  6 Ga 2.76-2.84, 2 Zn 2.91, 2 Hg 3.02
Ga 0.1242 0.6242 0.5000  6 Zn 2.76-2.84, 3 Ga 2.86-2.91
Ga 0.3758 0.1242 0.5000  6 Zn 2.76-2.84, 3 Ga 2.86-2.91
Ga 0.6242 0.8758 0.5000  6 Zn 2.76-2.84, 3 Ga 2.86-2.91
Ga 0.8758 0.3758 0.5000  6 Zn 2.76-2.84, 3 Ga 2.86-2.91
Hg 0.0000 0.0000 0.0000  2 Hg 2.91, 4 Zn 3.02
Hg 0.5000 0.5000 0.0000  2 Hg 2.91, 4 Zn 3.02

space group	P4/mbm (127)
calculated formation energy	0.07	eV per atom
crystal system	tetragonal

# PrTm5Rh6

A relaxed PrTm5Rh6 crystal (PBE-GGA, Alexandria via LeMat-Bulk).

a = 7.5755 Å, b = 7.5755 Å, c = 6.9411 Å
α = 90.00°, β = 90.00°, γ = 143.27°
Last column: nearest neighbours and their distance in Å.
Fractional positions:
Pr 0.0000 0.0000 0.0000  8 Rh 3.00-3.01
Tm 0.0000 0.0000 0.5000  8 Rh 2.91-2.97
Tm 0.3309 0.6691 0.0000  8 Rh 2.92-3.03
Tm 0.3328 0.6672 0.5000  8 Rh 2.90-2.93
Tm 0.6672 0.3328 0.5000  8 Rh 2.90-2.93
Tm 0.6691 0.3309 0.0000  8 Rh 2.92-3.03
Rh 0.1696 0.8304 0.2545  7 Tm 2.90-2.97, 1 Pr 3.01
Rh 0.1696 0.8304 0.7455  7 Tm 2.90-2.97, 1 Pr 3.01
Rh 0.5000 0.5000 0.2608  6 Tm 2.91-3.03, 2 Pr 3.00
Rh 0.5000 0.5000 0.7392  6 Tm 2.91-3.03, 2 Pr 3.00
Rh 0.8304 0.1696 0.2545  7 Tm 2.90-2.97, 1 Pr 3.01
Rh 0.8304 0.1696 0.7455  7 Tm 2.90-2.97, 1 Pr 3.01

space group	Cmmm (65)
calculated formation energy	-0.89	eV per atom
crystal system	orthorhombic